Here is an optimized crystal structure of TlCdAu2 from Alexandria. Energies are from GGA-PBE.

a = 5.374 Å, b = 5.374 Å, c = 5.374 Å
α = 131.82°, β = 131.82°, γ = 70.51°
Fractional positions:
Tl1 0.750 0.250 0.500
Au1 0.000 0.000 0.000
Au2 0.250 0.750 0.500
Cd1 0.500 0.500 0.000

## Properties
Energy of formation in eV per atom: 0.014
Total DFT energy (no corrections) in eV per cell: -9.8

***

Here is an optimized crystal structure of TlCd6Au6 from Alexandria. Energies are from GGA-PBE.

a = 5.694 Å, b = 7.534 Å, c = 7.534 Å
α = 80.75°, β = 67.80°, γ = 67.80°
Fractional positions:
Tl1 0.000 0.000 0.000
Cd1 0.342 0.658 0.658
Cd2 0.658 0.342 0.342
Cd3 0.000 0.342 0.658
Cd4 0.000 0.658 0.342
Cd5 0.323 0.177 0.177
Cd6 0.677 0.823 0.823
Au1 0.000 0.500 0.000
Au2 0.500 0.500 0.000
Au3 0.000 0.000 0.500
Au4 0.500 0.000 0.500
Au5 0.500 0.757 0.243
Au6 0.500 0.243 0.757

## Properties
Energy of formation in eV per atom: -0.134
Total DFT energy (no corrections) in eV per cell: -29.3

***

Here is an optimized crystal structure of TlCdAu2 from Alexandria. Energies are from GGA-PBE.

a = 6.515 Å, b = 6.515 Å, c = 7.850 Å
α = 65.48°, β = 65.48°, γ = 90.00°
Fractional positions:
Tl1 0.000 0.000 0.000
Tl2 0.750 0.250 0.500
Au1 0.612 0.125 0.250
Au2 0.138 0.625 0.250
Au3 0.375 0.388 0.750
Au4 0.875 0.862 0.750
Cd1 0.500 0.500 0.000
Cd2 0.250 0.750 0.500

## Properties
Energy of formation in eV per atom: 0.160
Total DFT energy (no corrections) in eV per cell: -18.4

***

Here is an optimized crystal structure of TlCd3Au2 from Alexandria. Energies are from GGA-PBE.

a = 4.380 Å, b = 8.665 Å, c = 8.658 Å
α = 63.99°, β = 75.35°, γ = 75.36°
Fractional positions:
Tl1 0.871 0.129 0.129
Tl2 0.129 0.871 0.871
Cd1 0.321 0.474 0.885
Cd2 0.000 0.345 0.655
Cd3 0.679 0.115 0.526
Cd4 0.321 0.885 0.474
Cd5 0.000 0.655 0.345
Cd6 0.679 0.526 0.115
Au1 0.500 0.153 0.847
Au2 0.500 0.847 0.153
Au3 0.813 0.687 0.687
Au4 0.187 0.313 0.313

## Properties
Energy of formation in eV per atom: -0.091
Total DFT energy (no corrections) in eV per cell: -24.4

***

Here is an optimized crystal structure of TlCd5Au2 from Alexandria. Energies are from GGA-PBE.

a = 3.658 Å, b = 7.365 Å, c = 7.365 Å
α = 76.89°, β = 75.62°, γ = 75.62°
Fractional positions:
Tl1 0.000 0.000 0.000
Cd1 0.000 0.500 0.500
Cd2 0.640 0.572 0.149
Cd3 0.360 0.428 0.851
Cd4 0.360 0.851 0.428
Cd5 0.640 0.149 0.572
Au1 0.736 0.764 0.764
Au2 0.264 0.236 0.236

## Properties
Energy of formation in eV per atom: -0.085
Total DFT energy (no corrections) in eV per cell: -14.2

***

Here is an optimized crystal structure of Tl2CdAu from Alexandria. Energies are from GGA-PBE.

a = 5.825 Å, b = 5.825 Å, c = 5.825 Å
α = 133.70°, β = 133.70°, γ = 67.56°
Fractional positions:
Tl1 0.000 0.000 0.000
Tl2 0.250 0.750 0.500
Au1 0.500 0.500 0.000
Cd1 0.750 0.250 0.500

## Properties
Energy of formation in eV per atom: 0.043
Total DFT energy (no corrections) in eV per cell: -8.8
Polymorph energy (0 for the lowest one) in eV per formula unit: 0.25

***

Please write out number 3 again, unchanged.
Here is an optimized crystal structure of TlCdAu2 from Alexandria. Energies are from GGA-PBE.

a = 6.515 Å, b = 6.515 Å, c = 7.850 Å
α = 65.48°, β = 65.48°, γ = 90.00°
Fractional positions:
Tl1 0.000 0.000 0.000
Tl2 0.750 0.250 0.500
Au1 0.612 0.125 0.250
Au2 0.138 0.625 0.250
Au3 0.375 0.388 0.750
Au4 0.875 0.862 0.750
Cd1 0.500 0.500 0.000
Cd2 0.250 0.750 0.500

## Properties
Energy of formation in eV per atom: 0.160
Total DFT energy (no corrections) in eV per cell: -18.4

***

Number 2 is which compound? TlCd6Au6

***

Number 3 is which compound? TlCdAu2

***

What is the energy of formation in the fourth record? -0.091 eV per atom